1.
30
Lattice="5.1511 0.0000 0.0000 0.0000 8.6084 0.0000 -2.5754 0.0000 7.0261" Properties=species:S:1:pos:R:3 comment="PBE-GGA Na5B7C3, relaxed" e_form_ev_per_atom=0.149 total_energy_ev_per_cell=-157.56 relative_energy_ev_per_atom=0.0359 pbc="T T T"
Na 0.0000 0.0000 0.0000
Na 0.0000 4.3042 0.0000
Na 0.0155 0.0021 2.8111
Na 0.0155 4.3021 2.8111
Na 0.0048 0.0045 5.6260
Na 0.0048 4.2998 5.6260
Na 2.5710 4.3087 1.4001
Na 2.5710 8.6040 1.4001
Na 2.5602 8.6063 4.2150
Na 2.5602 4.3063 4.2150
B -1.7956 6.4563 5.5930
B -1.7931 2.1521 5.6659
B -0.7791 2.1521 4.1889
B -0.6971 6.4563 4.2152
B 0.9265 2.1521 1.3949
B 1.7922 6.4563 0.0425
B 0.9257 2.1521 4.2263
B 1.6501 6.4563 2.7997
B 0.7835 2.1521 6.9836
B 1.6492 6.4563 5.6312
B 3.2728 2.1521 2.8109
B 3.3548 6.4563 2.8371
B 4.3689 6.4563 1.3602
B 4.3713 2.1521 1.4331
C 0.8291 6.4563 1.3851
C -0.8291 2.1521 7.0073
C 0.8249 6.4563 4.2152
C 1.7508 2.1521 2.8109
C 3.4049 6.4563 0.0188
C 1.7466 2.1521 5.6410

---

2.
9
Lattice="-1.9472 3.1864 6.1343 1.9472 -3.1864 6.1343 1.9472 3.1864 -6.1343" Properties=species:S:1:pos:R:3 comment="PBE-GGA Ba2NaIrO5, relaxed" total_energy_ev_per_cell=-53.69 raw_formation_energy_ev_per_atom=-1.652 pbc="T T T"
Ba 0.0000 0.0000 2.7323
Ba 0.0000 0.0000 9.5362
Na 0.0000 3.1864 0.0000
Ir 1.9472 0.0000 0.0000
O 0.0000 0.0000 0.0000
O 1.9472 1.4101 -1.4607
O 1.9472 1.4101 1.4607
O 0.0000 1.7763 4.6735
O 0.0000 1.7763 7.5950

---

3.
9
Lattice="4.3063 0.0000 0.0000 0.0000 4.3063 0.0000 0.0000 0.0000 8.7096" Properties=species:S:1:pos:R:3 comment="PBE-GGA CaThSi2Pt5, relaxed" total_energy_ev_per_cell=-59.25 raw_formation_energy_ev_per_atom=-0.975 pbc="T T T"
Ca 0.0000 0.0000 0.0000
Th 0.0000 0.0000 4.3548
Si 2.1532 2.1532 3.1424
Si 2.1532 2.1532 5.5672
Pt 0.0000 2.1532 2.0483
Pt 0.0000 2.1532 6.6612
Pt 2.1532 0.0000 2.0483
Pt 2.1532 0.0000 6.6612
Pt 2.1532 2.1532 0.0000

---

4.
5
Lattice="4.7777 0.0000 0.0000 0.0000 4.7777 0.0000 0.0000 0.0000 4.1419" Properties=species:S:1:pos:R:3 comment="PBE-GGA Ta2CrSiSe, relaxed" total_energy_ev_per_cell=-37.30 raw_formation_energy_ev_per_atom=0.987 pbc="T T T"
Ta 0.0000 2.3888 0.0000
Ta 2.3888 0.0000 0.0000
Cr 0.0000 0.0000 2.0710
Si 0.0000 0.0000 0.0000
Se 2.3888 2.3888 2.0710